(1)
Material: Nd4Ho2Er5
Method: DFT, PBE-GGA
State: relaxed

Structure (POSCAR):
```
Nd4Ho2Er5
1.0
-3.476 0.357 -0.227
-0.608 -8.350 -3.824
0.883 -0.678 12.419
Er Nd Ho
5 4 2
direct
0.852 0.051 0.704
0.148 0.347 0.296
0.148 0.949 0.296
0.852 0.653 0.704
0.500 0.000 0.000
0.000 0.294 0.000
0.596 0.596 0.192
0.404 0.404 0.808
0.000 0.706 0.000
0.270 0.270 0.540
0.730 0.730 0.460
```

## Properties
N(E_F) = 16.6 states/eV/cell
Energy relative to the elements = 290 meV per atom
Energy above the lowest structure with this stoichiometry = 0.183 eV/atom

---

(2)
Material: Nd3Ho8Er4
Method: DFT, PBE-GGA
State: relaxed

Structure (POSCAR):
```
Nd3Ho8Er4
1.0
-0.134 3.197 -5.900
6.381 -6.691 0.043
-6.400 -6.664 0.347
Er Ho Nd
4 8 3
direct
0.500 0.000 0.000
0.000 0.000 0.500
0.000 0.500 0.000
0.000 0.000 0.000
0.500 0.252 0.748
0.000 0.641 0.359
0.015 0.258 0.258
0.985 0.742 0.742
0.000 0.359 0.641
0.452 0.731 0.731
0.548 0.269 0.269
0.500 0.748 0.252
0.500 0.000 0.500
0.500 0.500 0.500
0.500 0.500 0.000
```

## Properties
N(E_F) = 28.9 states/eV/cell
Energy relative to the elements = 400 meV per atom

---

(3)
Material: Nd9HoEr2
Method: DFT, PBE-GGA
State: relaxed

Structure (POSCAR):
```
Nd9HoEr2
1.0
5.145 0.000 0.000
0.000 5.145 0.000
0.000 0.000 15.430
Nd Er Ho
9 2 1
direct
0.000 0.500 0.167
0.500 0.500 0.334
0.500 0.000 0.500
0.500 0.500 0.000
0.000 0.500 0.500
0.500 0.000 0.167
0.500 0.500 0.666
0.000 0.500 0.833
0.500 0.000 0.833
0.000 0.000 0.666
0.000 0.000 0.334
0.000 0.000 0.000
```

## Properties
N(E_F) = 19.8 states/eV/cell
Energy relative to the elements = 15 meV per atom

---

(4)
Material: NdHo2Er5
Method: DFT, PBE-GGA
State: relaxed

Structure (POSCAR):
```
NdHo2Er5
1.0
-2.324 -4.382 0.484
6.025 -3.363 -1.520
3.328 -0.247 13.740
Er Nd Ho
10 2 4
direct
0.500 0.751 0.126
0.500 0.251 0.374
0.000 0.000 0.000
0.500 0.749 0.626
0.000 0.500 0.500
0.000 0.500 0.749
0.000 0.500 0.251
0.000 0.000 0.249
0.000 0.000 0.751
0.500 0.249 0.874
0.000 0.000 0.500
0.000 0.500 0.000
0.500 0.749 0.374
0.500 0.751 0.874
0.500 0.249 0.126
0.500 0.251 0.626
```

## Properties
N(E_F) = 18.4 states/eV/cell
Energy relative to the elements = 19 meV per atom
Energy above the lowest structure with this stoichiometry = 0.000 eV/atom

---

(5)
Material: Nd5HoEr3
Method: DFT, PBE-GGA
State: relaxed

Structure (POSCAR):
```
Nd5HoEr3
1.0
-3.602 -7.829 3.518
8.352 -4.077 -0.520
-0.860 8.216 5.088
Er Nd Ho
6 10 2
direct
0.610 0.110 0.000
0.750 0.750 0.500
0.890 0.610 0.000
0.390 0.890 0.000
0.110 0.390 0.000
0.250 0.250 0.500
0.569 0.666 0.735
0.666 0.166 0.735
0.000 0.000 0.000
0.334 0.834 0.265
0.069 0.569 0.735
0.931 0.431 0.265
0.431 0.334 0.265
0.166 0.069 0.735
0.834 0.931 0.265
0.500 0.500 0.000
0.250 0.750 0.500
0.750 0.250 0.500
```

## Properties
N(E_F) = 26.6 states/eV/cell
Energy relative to the elements = 315 meV per atom
Energy above the lowest structure with this stoichiometry = 0.038 eV/atom

---

(6)
Material: Nd2Ho2Er3
Method: DFT, PBE-GGA
State: relaxed

Structure (POSCAR):
```
Nd2Ho2Er3
1.0
-0.824 6.669 5.063
-5.753 0.402 -6.126
-1.126 -7.053 4.447
Er Nd Ho
6 4 4
direct
0.694 0.750 0.944
0.056 0.306 0.250
0.444 0.194 0.750
0.806 0.250 0.556
0.750 0.556 0.306
0.250 0.944 0.194
0.187 0.687 0.687
0.000 0.000 0.813
0.313 0.500 0.000
0.500 0.813 0.500
0.500 0.414 0.500
0.586 0.086 0.086
0.914 0.500 0.000
0.000 0.000 0.414
```

## Properties
N(E_F) = 18.8 states/eV/cell
Energy relative to the elements = 225 meV per atom
Energy above the lowest structure with this stoichiometry = 0.099 eV/atom

---

(7)
Material: Nd12Ho7Er
Method: DFT, PBE-GGA
State: relaxed

Structure (POSCAR):
```
Nd12Ho7Er
1.0
-3.999 1.301 7.748
-3.689 -8.004 -0.219
6.746 -3.560 4.421
Nd Ho Er
12 7 1
direct
0.148 0.743 0.274
0.274 0.148 0.743
0.726 0.852 0.257
0.389 0.860 0.512
0.488 0.611 0.140
0.860 0.512 0.389
0.852 0.257 0.726
0.257 0.726 0.852
0.140 0.488 0.611
0.611 0.140 0.488
0.512 0.389 0.860
0.743 0.274 0.148
0.853 0.612 0.932
0.147 0.388 0.068
0.068 0.147 0.388
0.500 0.500 0.500
0.388 0.068 0.147
0.612 0.932 0.853
0.932 0.853 0.612
0.000 0.000 0.000
```

## Properties
N(E_F) = 38.3 states/eV/cell
Energy relative to the elements = 229 meV per atom

---

(8)
Material: NdHo4Er2
Method: DFT, PBE-GGA
State: relaxed

Structure (POSCAR):
```
NdHo4Er2
1.0
-1.737 1.026 -2.877
-5.581 -4.506 6.050
0.943 8.411 0.286
Ho Nd Er
4 1 2
direct
0.190 0.832 0.283
0.810 0.168 0.717
0.411 0.706 0.589
0.589 0.294 0.411
0.000 0.000 0.000
0.359 0.431 0.141
0.641 0.569 0.859
```

## Properties
N(E_F) = 10.3 states/eV/cell
Energy relative to the elements = 34 meV per atom
Energy above the lowest structure with this stoichiometry = 0.000 eV/atom

---

(9)
Material: Nd3Ho5Er
Method: DFT, PBE-GGA
State: relaxed

Structure (POSCAR):
```
Nd3Ho5Er
1.0
-0.450 4.578 4.894
2.762 -7.899 3.035
9.029 5.488 -4.305
Nd Ho Er
6 10 2
direct
0.389 0.526 0.646
0.000 0.000 0.500
0.000 0.000 0.000
0.863 0.474 0.854
0.611 0.474 0.354
0.137 0.526 0.146
0.703 0.648 0.127
0.945 0.648 0.627
0.320 0.000 0.750
0.390 0.786 0.955
0.397 0.786 0.455
0.297 0.352 0.873
0.680 0.000 0.250
0.603 0.214 0.545
0.055 0.352 0.373
0.610 0.214 0.045
0.773 0.000 0.750
0.227 0.000 0.250
```

## Properties
N(E_F) = 25.7 states/eV/cell
Energy relative to the elements = 159 meV per atom
Energy above the lowest structure with this stoichiometry = 0.000 eV/atom

---

(10)
Material: Nd5Ho2Er2
Method: DFT, PBE-GGA
State: relaxed

Structure (POSCAR):
```
Nd5Ho2Er2
1.0
12.881 0.000 0.000
0.000 6.218 0.000
-6.441 -3.109 7.565
Nd Ho Er
10 4 4
direct
0.150 0.245 0.902
0.328 0.096 0.288
0.459 0.596 0.288
0.748 0.843 0.098
0.850 0.343 0.098
0.541 0.308 0.712
0.074 0.793 0.500
0.926 0.293 0.500
0.672 0.808 0.712
0.252 0.745 0.902
0.000 0.886 0.000
0.500 0.386 0.000
0.806 0.769 0.500
0.194 0.269 0.500
0.185 0.583 0.270
0.815 0.313 0.730
0.415 0.813 0.730
0.585 0.083 0.270
```

## Properties
N(E_F) = 23.3 states/eV/cell
Energy relative to the elements = 174 meV per atom
Energy above the lowest structure with this stoichiometry = 0.154 eV/atom

---

(11)
Material: Nd2Ho9Er
Method: DFT, PBE-GGA
State: relaxed

Structure (POSCAR):
```
Nd2Ho9Er
1.0
5.019 0.000 0.000
0.000 5.019 0.000
0.000 0.000 15.054
Ho Er Nd
9 1 2
direct
0.500 0.000 0.164
0.000 0.500 0.836
0.500 0.500 0.332
0.000 0.500 0.500
0.500 0.000 0.500
0.500 0.500 0.668
0.500 0.500 0.000
0.000 0.500 0.164
0.500 0.000 0.836
0.000 0.000 0.000
0.000 0.000 0.667
0.000 0.000 0.333
```

## Properties
N(E_F) = 17.0 states/eV/cell
Energy relative to the elements = 23 meV per atom
Energy above the lowest structure with this stoichiometry = 0.000 eV/atom

---

(12)
Material: Nd3Ho3Er2
Method: DFT, PBE-GGA
State: relaxed

Structure (POSCAR):
```
Nd3Ho3Er2
1.0
-0.707 -1.389 5.493
4.538 -3.914 -0.406
3.132 8.043 -0.530
Ho Nd Er
3 3 2
direct
0.867 0.419 0.734
0.133 0.581 0.266
0.000 0.000 0.000
0.365 0.801 0.730
0.635 0.199 0.270
0.500 0.500 0.000
0.750 0.819 0.500
0.250 0.181 0.500
```

## Properties
N(E_F) = 13.3 states/eV/cell
Energy relative to the elements = 85 meV per atom
Energy above the lowest structure with this stoichiometry = 0.062 eV/atom

---

- Which of these has the highest N(E_F)?
  Nd12Ho7Er

---

Repeat the fourth record exactly.
Material: NdHo2Er5
Method: DFT, PBE-GGA
State: relaxed

Structure (POSCAR):
```
NdHo2Er5
1.0
-2.324 -4.382 0.484
6.025 -3.363 -1.520
3.328 -0.247 13.740
Er Nd Ho
10 2 4
direct
0.500 0.751 0.126
0.500 0.251 0.374
0.000 0.000 0.000
0.500 0.749 0.626
0.000 0.500 0.500
0.000 0.500 0.749
0.000 0.500 0.251
0.000 0.000 0.249
0.000 0.000 0.751
0.500 0.249 0.874
0.000 0.000 0.500
0.000 0.500 0.000
0.500 0.749 0.374
0.500 0.751 0.874
0.500 0.249 0.126
0.500 0.251 0.626
```

## Properties
N(E_F) = 18.4 states/eV/cell
Energy relative to the elements = 19 meV per atom
Energy above the lowest structure with this stoichiometry = 0.000 eV/atom

---

- The lowest energy relative to the elements belongs to which entry?
  Nd9HoEr2

---

- energy relative to the elements of number 9 (Nd3Ho5Er)?
  159 meV per atom